The following is a GGA-PBE calculation of a relaxed YbEr2Se4 crystal, from Alexandria.

The structure in CIF format:
```
data_YbEr2Se4
_space_group_name_H-M_alt 'P 1 2/m 1'
_space_group_IT_number 10
_cell_length_a 6.9929
_cell_length_b 4.0910
_cell_length_c 7.1399
_cell_angle_alpha 90.00
_cell_angle_beta 108.05
_cell_angle_gamma 90.00
loop_
_space_group_symop_operation_xyz
'x,y,z'
'-x,-y,-z'
'-x,y,-z'
'x,-y,z'
loop_
_atom_site_label
_atom_site_type_symbol
_atom_site_fract_x
_atom_site_fract_y
_atom_site_fract_z
Yb1 Yb 0.0000 0.0000 0.0000
Er1 Er 0.0000 0.5000 0.5000
Er2 Er 0.5000 0.0000 0.5000
Se1 Se 0.2425 0.0000 0.7338
Se2 Se 0.2576 0.5000 0.2558
```

ΔE_f (raw): -1908.5 meV per atom
energy: -5.42 eV per atom
D(E_F): 16.82 states/eV per cell
energy above the most stable polymorph in this dataset: 0.0 meV per atom